(1)
PBE Sr2SeBr, optimized geometry; total magnetization = 0.805 μB per formula unit; V = 135 Å³/f.u.; space-group type = Imm2 (44); N(E_F) = 0.559 states/eV/atom; E_tot = -3.744 eV per atom; distance to the lowest polymorph of the same formula = 0.117 eV/atom
1.0
8.1713 0.0073 0.0041
6.0021 5.5447 -0.0041
-7.1034 -2.7333 2.9732
Sr Se Br
2 1 1
Direct
0.7769 0.2769 0.5000
0.0606 0.0606 0.0000
0.2111 0.7111 0.5000
0.4514 0.4514 0.0000

=====

(2)
PBE SrSe2Br2, optimized geometry; total magnetization = 0.738 μB per formula unit; V = 214 Å³/f.u.; space-group type = P4/mbm (127); N(E_F) = 0.643 states/eV/atom; E_tot = -3.246 eV per atom
1.0
7.9918 0.0000 0.0000
0.0000 7.9918 0.0000
0.0000 0.0000 6.6951
Se Sr Br
4 2 4
Direct
0.5979 0.0979 0.5000
0.0979 0.4021 0.5000
0.9021 0.5979 0.5000
0.4021 0.9021 0.5000
0.0000 0.0000 0.0000
0.5000 0.5000 0.0000
0.1721 0.3279 0.0000
0.6721 0.1721 0.0000
0.8279 0.6721 0.0000
0.3279 0.8279 0.0000

=====

(3)
PBE Sr3Se2Br, optimized geometry; total magnetization = 0.700 μB per formula unit; V = 239 Å³/f.u.; space-group type = Cmcm (63); N(E_F) = 0.190 states/eV/atom; E_tot = -3.973 eV per atom
1.0
4.5543 0.0000 0.0000
-2.2772 8.4834 -0.0001
0.0000 -0.0001 12.3642
Se Sr Br
4 6 2
Direct
0.6256 0.2512 0.2500
0.0000 0.0000 0.0000
0.3744 0.7488 0.7500
0.0000 0.0000 0.5000
0.3699 0.7398 0.5100
0.3699 0.7398 0.9900
0.6301 0.2602 0.0100
0.9919 0.9838 0.7500
0.6301 0.2602 0.4900
0.0081 0.0162 0.2500
0.6256 0.2511 0.7500
0.3744 0.7489 0.2500

=====

(4)
PBE SrSe2Br, optimized geometry; total magnetization = 0.000 μB per formula unit; V = 138 Å³/f.u.; space-group type = R3m (160); N(E_F) = 0.694 states/eV/atom; E_tot = -3.600 eV per atom; distance to the lowest polymorph of the same formula = 0.147 eV/atom
1.0
-7.5583 -0.4159 2.6183
-4.8633 -1.0648 6.2746
-5.6360 3.1820 4.7188
Br Se Sr
1 2 1
Direct
0.7752 0.7752 0.7752
0.2624 0.2624 0.2624
0.9505 0.9505 0.9505
0.5120 0.5120 0.5120